Entry 1:
# DyMgAg

Crystalline DyMgAg at its relaxed geometry (GGA-PBE, the Alexandria database).

calculated total energy = -9.57 eV for the cell shown

Structure (POSCAR):
```
DyMgAg
1.0
4.893 0.000 0.000
-2.447 4.238 0.000
0.000 0.000 3.400
Dy Mg Ag
1 1 1
Direct
0.000 0.000 0.000
0.333 0.667 0.500
0.667 0.333 0.500
```

***

Entry 2:
# LaPrCdCu

Crystalline LaPrCdCu at its relaxed geometry (GGA-PBE, the Alexandria database).

calculated total energy = -15.42 eV for the cell shown

Structure (POSCAR):
```
LaPrCdCu
1.0
0.000 3.795 3.795
3.795 0.000 3.795
3.795 3.795 0.000
La Pr Cd Cu
1 1 1 1
Direct
0.000 0.000 0.000
0.500 0.500 0.500
0.250 0.250 0.250
0.750 0.750 0.750
```

***

Entry 3:
# Sm4Cu2Os

Crystalline Sm4Cu2Os at its relaxed geometry (GGA-PBE, the Alexandria database).

calculated total energy = -38.82 eV for the cell shown

Structure (POSCAR):
```
Sm4Cu2Os
1.0
2.486 1.435 8.110
-2.486 1.435 8.110
0.000 -2.870 8.110
Sm Cu Os
4 2 1
Direct
0.122 0.122 0.122
0.373 0.373 0.373
0.627 0.627 0.627
0.878 0.878 0.878
0.249 0.249 0.249
0.751 0.751 0.751
0.000 0.000 0.000
```

***

Question: What is the formula in the first record?
Answer: DyMgAg

***

Question: Look up the calculated total energy of the first one.
Answer: -9.57 eV for the cell shown